Crystalline PrZr4N6 at its relaxed geometry, computed with PBE-GGA.

Lattice parameters (Å, degrees): 5.6669 5.6669 16.6403 90.00 90.00 146.51
Element x y z (fractional)
Pr (0.1507, 0.8493, 0.7500)
Pr (0.8493, 0.1507, 0.2500)
Zr (0.1056, 0.8944, 0.1357)
Zr (0.1056, 0.8944, 0.3643)
Zr (0.3693, 0.6307, 0.0476)
Zr (0.3693, 0.6307, 0.4524)
Zr (0.6307, 0.3693, 0.5476)
Zr (0.6307, 0.3693, 0.9524)
Zr (0.8944, 0.1056, 0.6357)
Zr (0.8944, 0.1056, 0.8643)
N (0.0000, 0.0000, 0.0000)
N (0.0000, 0.0000, 0.5000)
N (0.1815, 0.8185, 0.2500)
N (0.2700, 0.7300, 0.5824)
N (0.2700, 0.7300, 0.9176)
N (0.4668, 0.5332, 0.1561)
N (0.4668, 0.5332, 0.3439)
N (0.5332, 0.4668, 0.6561)
N (0.5332, 0.4668, 0.8439)
N (0.7300, 0.2700, 0.0824)
N (0.7300, 0.2700, 0.4176)
N (0.8185, 0.1815, 0.7500)

**Crystal system**: orthorhombic
**Theoretical density**: 6.6 g/cm3
**Formation energy (no corrections)**: -1569 meV per atom
**Symmetry**: Cmcm (63)
**Total magnetic moment**: 0.0 μB per formula unit
**Density of states at the Fermi level**: 2.15 states/eV/cell

***

Crystalline PrZrN2 at its relaxed geometry, computed with PBE-GGA.

Lattice parameters (Å, degrees): 3.3579 3.3579 18.0320 90.00 90.00 120.00
Element x y z (fractional)
Pr (0.0000, 0.0000, 0.0000)
Pr (0.3333, 0.6667, 0.6667)
Pr (0.6667, 0.3333, 0.3333)
Zr (0.0000, 0.0000, 0.8271)
Zr (0.3333, 0.6667, 0.4938)
Zr (0.6667, 0.3333, 0.1605)
N (0.0000, 0.0000, 0.2313)
N (0.0000, 0.0000, 0.4251)
N (0.3333, 0.6667, 0.0918)
N (0.3333, 0.6667, 0.8979)
N (0.6667, 0.3333, 0.5646)
N (0.6667, 0.3333, 0.7585)

**Crystal system**: trigonal
**Theoretical density**: 7.4 g/cm3
**Formation energy (no corrections)**: -1340 meV per atom
**Symmetry**: R3m (160)
**Total magnetic moment**: 0.0 μB per formula unit
**Density of states at the Fermi level**: 5.32 states/eV/cell

***

Crystalline Pr5Zr3N8 at its relaxed geometry, computed with PBE-GGA.

Lattice parameters (Å, degrees): 7.0678 7.0678 7.0678 59.21 59.21 59.21
Element x y z (fractional)
Pr (0.0000, 0.0000, 0.0000)
Pr (0.0000, 0.5000, 0.5000)
Pr (0.5000, 0.0000, 0.5000)
Pr (0.5000, 0.5000, 0.0000)
Pr (0.5000, 0.5000, 0.5000)
Zr (0.0000, 0.0000, 0.5000)
Zr (0.0000, 0.5000, 0.0000)
Zr (0.5000, 0.0000, 0.0000)
N (0.2214, 0.7500, 0.7500)
N (0.2388, 0.2388, 0.2388)
N (0.2500, 0.2500, 0.7786)
N (0.2500, 0.7786, 0.2500)
N (0.7500, 0.2214, 0.7500)
N (0.7500, 0.7500, 0.2214)
N (0.7612, 0.7612, 0.7612)
N (0.7786, 0.2500, 0.2500)

**Crystal system**: trigonal
**Theoretical density**: 7.4 g/cm3
**Formation energy (no corrections)**: -1428 meV per atom
**Symmetry**: R-3m (166)
**Total magnetic moment**: 0.0 μB per formula unit
**Density of states at the Fermi level**: 2.19 states/eV/cell

***

Crystalline Pr2ZrN3 at its relaxed geometry, computed with PBE-GGA.

Lattice parameters (Å, degrees): 3.5628 3.5628 15.0359 90.00 90.00 90.00
Element x y z (fractional)
Pr (0.0000, 0.0000, 0.1613)
Pr (0.0000, 0.0000, 0.8387)
Pr (0.5000, 0.5000, 0.3387)
Pr (0.5000, 0.5000, 0.6613)
Zr (0.0000, 0.0000, 0.5000)
Zr (0.5000, 0.5000, 0.0000)
N (0.0000, 0.0000, 0.0000)
N (0.0000, 0.0000, 0.3511)
N (0.0000, 0.0000, 0.6489)
N (0.5000, 0.5000, 0.1489)
N (0.5000, 0.5000, 0.5000)
N (0.5000, 0.5000, 0.8511)

**Crystal system**: tetragonal
**Theoretical density**: 7.2 g/cm3
**Formation energy (no corrections)**: -1341 meV per atom
**Symmetry**: I4/mmm (139)
**Total magnetic moment**: 0.0 μB per formula unit
**Density of states at the Fermi level**: 2.35 states/eV/cell

***

Crystalline Pr2ZrN at its relaxed geometry, computed with PBE-GGA.

Lattice parameters (Å, degrees): 3.4821 3.4821 28.5508 90.00 90.00 120.00
Element x y z (fractional)
Pr (0.0000, 0.0000, 0.1158)
Pr (0.0000, 0.0000, 0.8842)
Pr (0.3333, 0.6667, 0.5509)
Pr (0.3333, 0.6667, 0.7825)
Pr (0.6667, 0.3333, 0.2175)
Pr (0.6667, 0.3333, 0.4491)
Zr (0.0000, 0.0000, 0.0000)
Zr (0.3333, 0.6667, 0.6667)
Zr (0.6667, 0.3333, 0.3333)
N (0.0000, 0.0000, 0.5000)
N (0.3333, 0.6667, 0.1667)
N (0.6667, 0.3333, 0.8333)

**Crystal system**: trigonal
**Theoretical density**: 6.4 g/cm3
**Formation energy (no corrections)**: -295 meV per atom
**Symmetry**: R-3m (166)
**Total magnetic moment**: 0.0 μB per formula unit
**Density of states at the Fermi level**: 13.02 states/eV/cell

***

Crystalline PtN2 at its relaxed geometry, computed with PBE-GGA.

Lattice parameters (Å, degrees): 3.7597 4.8701 3.2050 90.00 90.00 90.00
Element x y z (fractional)
Pt (0.0000, 0.0000, 0.0000)
Pt (0.5000, 0.5000, 0.5000)
N (0.1500, 0.4148, 0.0000)
N (0.3500, 0.9148, 0.5000)
N (0.6500, 0.0852, 0.5000)
N (0.8500, 0.5852, 0.0000)

**Crystal system**: orthorhombic
**Theoretical density**: 12.6 g/cm3
**Formation energy (no corrections)**: 483 meV per atom
**Symmetry**: Pnnm (58)
**Total magnetic moment**: 0.0 μB per formula unit

***

Crystalline PtN2 at its relaxed geometry, computed with PBE-GGA.

Lattice parameters (Å, degrees): 4.8652 4.8652 4.8652 90.00 90.00 90.00
Element x y z (fractional)
Pt (0.0000, 0.0000, 0.0000)
Pt (0.0000, 0.5000, 0.5000)
Pt (0.5000, 0.0000, 0.5000)
Pt (0.5000, 0.5000, 0.0000)
N (0.0841, 0.5841, 0.9159)
N (0.0841, 0.9159, 0.4159)
N (0.4159, 0.0841, 0.9159)
N (0.4159, 0.4159, 0.4159)
N (0.5841, 0.5841, 0.5841)
N (0.5841, 0.9159, 0.0841)
N (0.9159, 0.0841, 0.5841)
N (0.9159, 0.4159, 0.0841)

**Crystal system**: cubic
**Theoretical density**: 12.9 g/cm3
**Formation energy (no corrections)**: 445 meV per atom
**Symmetry**: Pa-3 (205)
**Total magnetic moment**: 0.0 μB per formula unit

***

Crystalline PtN2 at its relaxed geometry, computed with PBE-GGA.

Lattice parameters (Å, degrees): 3.2047 3.2047 3.9177 90.00 90.00 120.00
Element x y z (fractional)
Pt (0.0000, 0.0000, 0.0000)
N (0.3333, 0.6667, 0.3468)
N (0.3333, 0.6667, 0.6532)

**Crystal system**: hexagonal
**Theoretical density**: 10.6 g/cm3
**Formation energy (no corrections)**: 909 meV per atom
**Symmetry**: P-6m2 (187)
**Total magnetic moment**: 0.0 μB per formula unit
**Density of states at the Fermi level**: 0.52 states/eV/cell

***

Crystalline PtN4 at its relaxed geometry, computed with PBE-GGA.

Lattice parameters (Å, degrees): 3.8954 3.8954 3.8954 90.00 90.00 90.00
Element x y z (fractional)
Pt (0.0000, 0.0000, 0.0000)
N (0.0000, 0.0000, 0.5000)
N (0.0000, 0.5000, 0.0000)
N (0.5000, 0.0000, 0.0000)
N (0.5000, 0.5000, 0.5000)

**Crystal system**: cubic
**Theoretical density**: 7.1 g/cm3
**Formation energy (no corrections)**: 3120 meV per atom
**Symmetry**: Pm-3m (221)
**Total magnetic moment**: 2.7 μB per formula unit
**Density of states at the Fermi level**: 3.74 states/eV/cell